! Sn2Sb2S (GGA-PBE, relaxed); values from VASP
! - E (eV/atom) = -3.9290
! - raw formation energy (meV per atom) = 147
! - energy relative to the lowest polymorph listed for this composition (meV/atom) = 0
! - total magnetic moment (μB/atom) = 0.000
&SYSTEM
  ibrav = 0, nat = 10, ntyp = 3
/
ATOMIC_SPECIES
Sn 118.71 Sn.upf
Sb 121.76 Sb.upf
S 32.06 S.upf
CELL_PARAMETERS angstrom
7.740 0.000 0.000
0.000 7.740 0.000
0.000 0.000 4.890
ATOMIC_POSITIONS angstrom
Sn 1.542 2.328 0.000
Sn 2.328 6.198 0.000
Sn 5.412 1.542 0.000
Sn 6.198 5.412 0.000
Sb 0.989 4.859 2.445
Sb 2.881 0.989 2.445
Sb 4.859 6.750 2.445
Sb 6.750 2.881 2.445
S 0.000 0.000 0.000
S 3.870 3.870 0.000